The following is a DFT calculation (GGA-PBE) of crystalline Pm2Er3Au2 at its relaxed geometry.

As for the density of states at the Fermi level: 9.206 states/eV/f.u. As for the energy: -0.1749 hartree per atom. As for the crystal system: monoclinic. The calculation puts the total magnetization at 0.000 μB per atom.

abc: 3.721 6.690 9.177
angles: 115.73 90.00 106.15
Element x y z (fractional)
Au  0.166  0.332  0.235
Er  0.614  0.229  0.446
Pm  0.151  0.302  0.814
Au  0.834  0.668  0.765
Pm  0.849  0.698  0.186
Er  0.500  0.000  0.000
Er  0.386  0.771  0.554